A plane-wave DFT calculation with PBE-GGA was carried out for an optimized crystal structure of DyAgP.

Energy of formation = -0.605 eV/atom
Calculated total energy = -4.893 eV per atom

a = 4.7314 Å, b = 4.7314 Å, c = 7.9949 Å
α = 72.79°, β = 72.79°, γ = 60.00°
With the nearest neighbours (Å) after each atom.
Fractional coordinates of all 6 atoms:
Dy1 0.6001 0.6001 0.1997  4 P 2.73-2.74
Ag1 0.8324 0.8324 0.5029  1 P 2.50, 3 Ag 2.73
P1 0.7214 0.7214 0.8359  1 Ag 2.50, 4 Dy 2.73-2.74
Dy2 0.3999 0.3999 0.8003  4 P 2.73-2.74
Ag2 0.1676 0.1676 0.4971  1 P 2.50, 3 Ag 2.73
P2 0.2786 0.2786 0.1641  1 Ag 2.50, 4 Dy 2.73-2.74